Here is a relaxed TlSbP2 crystal from Alexandria via LeMat-Bulk. Energies are from PBE.

Values from the calculation:
- M_tot: 0.00 μB/f.u.
- Formation energy from raw total energies: 0.7022 eV/atom
- Raw total energy: -3.625 eV/atom
- Excess energy over the best structure of this formula in the dataset: 0.556 eV/atom
- Space group: F-43m

Unit cell a=4.963 b=4.963 c=4.963 alpha=60.00 beta=60.00 gamma=60.00
Fractional coordinates of all 4 atoms:
P (0.000, 0.000, 0.000)
P (0.250, 0.250, 0.250)
Sb (0.500, 0.500, 0.500)
Tl (0.750, 0.750, 0.750)